Crystalline Ce4NpAs5 at its relaxed geometry, computed with PBE.

a = 15.1413 Å, b = 15.1413 Å, c = 15.1413 Å
α = 164.07°, β = 164.07°, γ = 22.60°
Sites, in units of the cell vectors:
Ce (0.0994, 0.0994, 0.0000)
Ce (0.3005, 0.3005, 0.0000)
Ce (0.6995, 0.6995, 0.0000)
Ce (0.9006, 0.9006, 0.0000)
Np (0.5000, 0.5000, 0.0000)
As (0.0000, 0.0000, 0.0000)
As (0.1998, 0.1998, 0.0000)
As (0.4010, 0.4010, 0.0000)
As (0.5990, 0.5990, 0.0000)
As (0.8002, 0.8002, 0.0000)

Output
Density of states at the Fermi level in states/eV per atom: 2.84
E_form in meV per atom: -1270

***

Crystalline CeNp4As5 at its relaxed geometry, computed with PBE.

a = 7.1549 Å, b = 7.1549 Å, c = 10.1075 Å
α = 118.03°, β = 118.03°, γ = 33.65°
Sites, in units of the cell vectors:
Ce (0.0000, 0.0000, 0.0000)
Np (0.2013, 0.2013, 0.7974)
Np (0.4020, 0.4020, 0.6015)
Np (0.5980, 0.5980, 0.3985)
Np (0.7987, 0.7987, 0.2026)
As (0.0000, 0.0000, 0.5000)
As (0.2015, 0.2015, 0.3050)
As (0.3960, 0.3960, 0.1018)
As (0.6040, 0.6040, 0.8982)
As (0.7985, 0.7985, 0.6950)

Output
Density of states at the Fermi level in states/eV per atom: 3.68
E_form in meV per atom: -832